A relaxed PuH2Pd crystal, computed with GGA-PBE.

a b c (Å): 5.5912 2.9837 2.9837
angles (deg): 59.89 90.00 90.00
Last column: nearest neighbours and their distance in Å.
Positions (direct):
Pu (0.0000, 0.0000, 0.0000)  6 H 2.40
H (0.2994, 0.3320, 0.3320)  3 Pd 2.05-2.07, 1 H 2.24
H (0.7006, 0.3320, 0.3320)  3 Pd 2.05-2.07, 1 H 2.24
Pd (0.5000, 0.6684, 0.6684)  6 H 2.05-2.07

## Properties
**Theoretical density**: 13.59 g/cm3
**Volume**: 10.764 Å³/atom
**Energy relative to the lowest polymorph listed for this composition**: 0 kJ/mol of formula units

=====

A relaxed PuH12Pd7 crystal, computed with GGA-PBE.

a b c (Å): 6.1156 6.1156 6.1156
angles (deg): 109.47 109.47 109.47
Last column: nearest neighbours and their distance in Å.
Positions (direct):
Pu (0.0000, 0.0000, 0.0000)  12 H 2.51
H (0.1339, 0.3089, 0.8251)  3 Pd 1.83-1.89
H (0.1749, 0.4838, 0.3089)  3 Pd 1.83-1.89
H (0.1749, 0.8661, 0.6911)  3 Pd 1.83-1.89
H (0.3089, 0.1749, 0.4838)  3 Pd 1.83-1.89
H (0.3089, 0.8251, 0.1339)  3 Pd 1.83-1.89
H (0.4838, 0.3089, 0.1749)  3 Pd 1.83-1.89
H (0.5162, 0.6911, 0.8251)  3 Pd 1.83-1.89
H (0.6911, 0.1749, 0.8661)  3 Pd 1.83-1.89
H (0.6911, 0.8251, 0.5162)  3 Pd 1.83-1.89
H (0.8251, 0.1339, 0.3089)  3 Pd 1.83-1.89
H (0.8251, 0.5162, 0.6911)  3 Pd 1.83-1.89
H (0.8661, 0.6911, 0.1749)  3 Pd 1.83-1.89
Pd (0.0000, 0.0000, 0.5000)  6 H 1.89
Pd (0.0000, 0.5000, 0.0000)  6 H 1.89
Pd (0.0000, 0.5000, 0.5000)  4 H 1.83
Pd (0.5000, 0.0000, 0.0000)  6 H 1.89
Pd (0.5000, 0.0000, 0.5000)  4 H 1.83
Pd (0.5000, 0.5000, 0.0000)  4 H 1.83
Pd (0.5000, 0.5000, 0.5000)  6 H 1.89

## Properties
**Theoretical density**: 9.44 g/cm3
**Volume**: 8.804 Å³/atom
**Final energy**: -93.0 eV/cell

=====

A relaxed Pu2H5Pd4 crystal, computed with GGA-PBE.

a b c (Å): 16.1242 16.1242 16.1242
angles (deg): 10.61 10.61 10.61
Last column: nearest neighbours and their distance in Å.
Positions (direct):
Pu (0.1318, 0.1318, 0.1318)  6 H 2.40-2.51
Pu (0.8682, 0.8682, 0.8682)  6 H 2.40-2.51
H (0.2396, 0.2396, 0.2396)  3 Pd 1.91
H (0.3700, 0.3700, 0.3700)  4 Pd 1.82-1.91
H (0.5000, 0.5000, 0.5000)  6 Pu 2.40
H (0.6300, 0.6300, 0.6300)  4 Pd 1.82-1.91
H (0.7604, 0.7604, 0.7604)  3 Pd 1.91
Pd (0.3092, 0.3092, 0.3092)  3 H 1.82
Pd (0.4097, 0.4097, 0.4097)  4 H 1.91
Pd (0.5903, 0.5903, 0.5903)  4 H 1.91
Pd (0.6908, 0.6908, 0.6908)  3 H 1.82

## Properties
**Theoretical density**: 12.36 g/cm3
**Volume**: 11.221 Å³/atom
**Final energy**: -67.4 eV/cell

=====

A relaxed Pu12H5Pd3 crystal, computed with GGA-PBE.

a b c (Å): 12.0502 12.0502 12.0502
angles (deg): 109.47 109.47 109.47
Last column: nearest neighbours and their distance in Å.
Positions (direct):
Pu (0.0326, 0.6925, 0.0856)  2 H 2.00-2.03
Pu (0.0326, 0.8401, 0.9470)  2 H 2.00-2.03
Pu (0.0530, 0.5856, 0.8931)  2 H 2.00-2.03
Pu (0.0530, 0.9674, 0.1599)  2 H 2.00-2.03
Pu (0.0856, 0.0326, 0.6925)  2 H 2.00-2.03
Pu (0.0856, 0.5530, 0.3931)  2 H 2.00-2.03
Pu (0.1069, 0.6599, 0.6925)  2 H 2.00-2.03
Pu (0.1069, 0.9470, 0.4144)  2 H 2.00-2.03
Pu (0.1599, 0.0530, 0.9674)  2 H 2.00-2.03
Pu (0.1599, 0.6069, 0.1925)  2 H 2.00-2.03
Pu (0.1925, 0.1599, 0.6069)  2 H 2.00-2.03
Pu (0.1925, 0.5326, 0.5856)  2 H 2.00-2.03
Pu (0.3075, 0.8931, 0.3401)  2 H 2.00-2.03
Pu (0.3075, 0.9144, 0.9674)  2 H 2.00-2.03
Pu (0.3401, 0.3075, 0.8931)  2 H 2.00-2.03
Pu (0.3401, 0.5326, 0.4470)  2 H 2.00-2.03
Pu (0.3931, 0.0856, 0.5530)  2 H 2.00-2.03
Pu (0.3931, 0.8075, 0.8401)  2 H 2.00-2.03
Pu (0.4144, 0.1069, 0.9470)  2 H 2.00-2.03
Pu (0.4144, 0.8075, 0.4674)  2 H 2.00-2.03
Pu (0.4470, 0.3401, 0.5326)  2 H 2.00-2.03
Pu (0.4470, 0.6069, 0.9144)  2 H 2.00-2.03
Pu (0.4674, 0.4144, 0.8075)  2 H 2.00-2.03
Pu (0.4674, 0.5530, 0.6599)  2 H 2.00-2.03
Pu (0.5326, 0.4470, 0.3401)  2 H 2.00-2.03
Pu (0.5326, 0.5856, 0.1925)  2 H 2.00-2.03
Pu (0.5530, 0.3931, 0.0856)  2 H 2.00-2.03
Pu (0.5530, 0.6599, 0.4674)  2 H 2.00-2.03
Pu (0.5856, 0.1925, 0.5326)  2 H 2.00-2.03
Pu (0.5856, 0.8931, 0.0530)  2 H 2.00-2.03
Pu (0.6069, 0.1925, 0.1599)  2 H 2.00-2.03
Pu (0.6069, 0.9144, 0.4470)  2 H 2.00-2.03
Pu (0.6599, 0.4674, 0.5530)  2 H 2.00-2.03
Pu (0.6599, 0.6925, 0.1069)  2 H 2.00-2.03
Pu (0.6925, 0.0856, 0.0326)  2 H 2.00-2.03
Pu (0.6925, 0.1069, 0.6599)  2 H 2.00-2.03
Pu (0.8075, 0.4674, 0.4144)  2 H 2.00-2.03
Pu (0.8075, 0.8401, 0.3931)  2 H 2.00-2.03
Pu (0.8401, 0.3931, 0.8075)  2 H 2.00-2.03
Pu (0.8401, 0.9470, 0.0326)  2 H 2.00-2.03
Pu (0.8931, 0.0530, 0.5856)  2 H 2.00-2.03
Pu (0.8931, 0.3401, 0.3075)  2 H 2.00-2.03
Pu (0.9144, 0.4470, 0.6069)  2 H 2.00-2.03
Pu (0.9144, 0.9674, 0.3075)  2 H 2.00-2.03
Pu (0.9470, 0.0326, 0.8401)  2 H 2.00-2.03
Pu (0.9470, 0.4144, 0.1069)  2 H 2.00-2.03
Pu (0.9674, 0.1599, 0.0530)  2 H 2.00-2.03
Pu (0.9674, 0.3075, 0.9144)  2 H 2.00-2.03
H (0.0000, 0.0000, 0.0000)  6 Pu 2.03
H (0.0000, 0.0000, 0.5000)  6 Pu 2.03
H (0.0000, 0.5000, 0.0000)  6 Pu 2.03
H (0.0000, 0.5000, 0.5000)  6 Pu 2.03
H (0.1250, 0.7500, 0.8750)  4 Pu 2.00
H (0.1250, 0.8750, 0.2500)  4 Pu 2.00
H (0.2500, 0.1250, 0.8750)  4 Pu 2.00
H (0.2500, 0.6250, 0.3750)  4 Pu 2.00
H (0.3750, 0.2500, 0.6250)  4 Pu 2.00
H (0.3750, 0.6250, 0.7500)  4 Pu 2.00
H (0.5000, 0.0000, 0.0000)  6 Pu 2.03
H (0.5000, 0.0000, 0.5000)  6 Pu 2.03
H (0.5000, 0.5000, 0.0000)  6 Pu 2.03
H (0.5000, 0.5000, 0.5000)  6 Pu 2.03
H (0.6250, 0.3750, 0.2500)  4 Pu 2.00
H (0.6250, 0.7500, 0.3750)  4 Pu 2.00
H (0.7500, 0.3750, 0.6250)  4 Pu 2.00
H (0.7500, 0.8750, 0.1250)  4 Pu 2.00
H (0.8750, 0.1250, 0.7500)  4 Pu 2.00
H (0.8750, 0.2500, 0.1250)  4 Pu 2.00
Pd (0.1250, 0.2500, 0.3750)  8 Pu 3.12-3.28, 2 H 3.48
Pd (0.1250, 0.3750, 0.7500)  8 Pu 3.12-3.28, 2 H 3.48
Pd (0.2500, 0.3750, 0.1250)  8 Pu 3.12-3.28, 2 H 3.48
Pd (0.2500, 0.8750, 0.6250)  8 Pu 3.12-3.28, 2 H 3.48
Pd (0.3750, 0.1250, 0.2500)  8 Pu 3.12-3.28, 2 H 3.48
Pd (0.3750, 0.7500, 0.1250)  8 Pu 3.12-3.28, 2 H 3.48
Pd (0.6250, 0.2500, 0.8750)  8 Pu 3.12-3.28, 2 H 3.48
Pd (0.6250, 0.8750, 0.7500)  8 Pu 3.12-3.28, 2 H 3.48
Pd (0.7500, 0.1250, 0.3750)  8 Pu 3.12-3.28, 2 H 3.48
Pd (0.7500, 0.6250, 0.8750)  8 Pu 3.12-3.28, 2 H 3.48
Pd (0.8750, 0.6250, 0.2500)  8 Pu 3.12-3.28, 2 H 3.48
Pd (0.8750, 0.7500, 0.6250)  8 Pu 3.12-3.28, 2 H 3.48

## Properties
**Theoretical density**: 16.04 g/cm3
**Volume**: 16.837 Å³/atom
**Final energy**: -775.5 eV/cell

=====

A relaxed Pu3H12Pd5 crystal, computed with GGA-PBE.

a b c (Å): 10.3358 10.3358 10.3358
angles (deg): 109.47 109.47 109.47
Last column: nearest neighbours and their distance in Å.
Positions (direct):
Pu (0.1250, 0.2500, 0.3750)  8 H 2.37-2.41
Pu (0.1250, 0.3750, 0.7500)  8 H 2.37-2.41
Pu (0.2500, 0.3750, 0.1250)  8 H 2.37-2.41
Pu (0.2500, 0.8750, 0.6250)  8 H 2.37-2.41
Pu (0.3750, 0.1250, 0.2500)  8 H 2.37-2.41
Pu (0.3750, 0.7500, 0.1250)  8 H 2.37-2.41
Pu (0.6250, 0.2500, 0.8750)  8 H 2.37-2.41
Pu (0.6250, 0.8750, 0.7500)  8 H 2.37-2.41
Pu (0.7500, 0.1250, 0.3750)  8 H 2.37-2.41
Pu (0.7500, 0.6250, 0.8750)  8 H 2.37-2.41
Pu (0.8750, 0.6250, 0.2500)  8 H 2.37-2.41
Pu (0.8750, 0.7500, 0.6250)  8 H 2.37-2.41
H (0.0188, 0.1919, 0.1075)  2 Pd 1.82-1.83
H (0.0188, 0.3269, 0.9113)  2 Pd 1.82-1.83
H (0.0844, 0.6919, 0.6731)  2 Pd 1.82-1.83
H (0.0844, 0.8925, 0.4113)  2 Pd 1.82-1.83
H (0.0887, 0.6075, 0.4156)  2 Pd 1.82-1.83
H (0.0887, 0.9812, 0.6731)  2 Pd 1.82-1.83
H (0.1075, 0.0188, 0.1919)  2 Pd 1.82-1.83
H (0.1075, 0.5887, 0.9156)  2 Pd 1.82-1.83
H (0.1731, 0.1919, 0.5844)  2 Pd 1.82-1.83
H (0.1731, 0.4812, 0.5887)  2 Pd 1.82-1.83
H (0.1919, 0.1075, 0.0188)  2 Pd 1.82-1.83
H (0.1919, 0.5844, 0.1731)  2 Pd 1.82-1.83
H (0.3081, 0.3269, 0.9156)  2 Pd 1.82-1.83
H (0.3081, 0.4812, 0.3925)  2 Pd 1.82-1.83
H (0.3269, 0.9113, 0.0188)  2 Pd 1.82-1.83
H (0.3269, 0.9156, 0.3081)  2 Pd 1.82-1.83
H (0.3925, 0.3081, 0.4812)  2 Pd 1.82-1.83
H (0.3925, 0.5844, 0.9113)  2 Pd 1.82-1.83
H (0.4113, 0.0844, 0.8925)  2 Pd 1.82-1.83
H (0.4113, 0.8269, 0.5188)  2 Pd 1.82-1.83
H (0.4156, 0.0887, 0.6075)  2 Pd 1.82-1.83
H (0.4156, 0.8269, 0.8081)  2 Pd 1.82-1.83
H (0.4812, 0.3925, 0.3081)  2 Pd 1.82-1.83
H (0.4812, 0.5887, 0.1731)  2 Pd 1.82-1.83
H (0.5188, 0.4113, 0.8269)  2 Pd 1.82-1.83
H (0.5188, 0.6075, 0.6919)  2 Pd 1.82-1.83
H (0.5844, 0.1731, 0.1919)  2 Pd 1.82-1.83
H (0.5844, 0.9113, 0.3925)  2 Pd 1.82-1.83
H (0.5887, 0.1731, 0.4812)  2 Pd 1.82-1.83
H (0.5887, 0.9156, 0.1075)  2 Pd 1.82-1.83
H (0.6075, 0.4156, 0.0887)  2 Pd 1.82-1.83
H (0.6075, 0.6919, 0.5188)  2 Pd 1.82-1.83
H (0.6731, 0.0844, 0.6919)  2 Pd 1.82-1.83
H (0.6731, 0.0887, 0.9812)  2 Pd 1.82-1.83
H (0.6919, 0.5188, 0.6075)  2 Pd 1.82-1.83
H (0.6919, 0.6731, 0.0844)  2 Pd 1.82-1.83
H (0.8081, 0.4156, 0.8269)  2 Pd 1.82-1.83
H (0.8081, 0.8925, 0.9812)  2 Pd 1.82-1.83
H (0.8269, 0.5188, 0.4113)  2 Pd 1.82-1.83
H (0.8269, 0.8081, 0.4156)  2 Pd 1.82-1.83
H (0.8925, 0.4113, 0.0844)  2 Pd 1.82-1.83
H (0.8925, 0.9812, 0.8081)  2 Pd 1.82-1.83
H (0.9113, 0.0188, 0.3269)  2 Pd 1.82-1.83
H (0.9113, 0.3925, 0.5844)  2 Pd 1.82-1.83
H (0.9156, 0.1075, 0.5887)  2 Pd 1.82-1.83
H (0.9156, 0.3081, 0.3269)  2 Pd 1.82-1.83
H (0.9812, 0.6731, 0.0887)  2 Pd 1.82-1.83
H (0.9812, 0.8081, 0.8925)  2 Pd 1.82-1.83
Pd (0.0000, 0.0000, 0.0000)  6 H 1.83
Pd (0.0000, 0.0000, 0.5000)  6 H 1.83
Pd (0.0000, 0.5000, 0.0000)  6 H 1.83
Pd (0.0000, 0.5000, 0.5000)  6 H 1.83
Pd (0.1250, 0.7500, 0.8750)  4 H 1.82
Pd (0.1250, 0.8750, 0.2500)  4 H 1.82
Pd (0.2500, 0.1250, 0.8750)  4 H 1.82
Pd (0.2500, 0.6250, 0.3750)  4 H 1.82
Pd (0.3750, 0.2500, 0.6250)  4 H 1.82
Pd (0.3750, 0.6250, 0.7500)  4 H 1.82
Pd (0.5000, 0.0000, 0.0000)  6 H 1.83
Pd (0.5000, 0.0000, 0.5000)  6 H 1.83
Pd (0.5000, 0.5000, 0.0000)  6 H 1.83
Pd (0.5000, 0.5000, 0.5000)  6 H 1.83
Pd (0.6250, 0.3750, 0.2500)  4 H 1.82
Pd (0.6250, 0.7500, 0.3750)  4 H 1.82
Pd (0.7500, 0.3750, 0.6250)  4 H 1.82
Pd (0.7500, 0.8750, 0.1250)  4 H 1.82
Pd (0.8750, 0.1250, 0.7500)  4 H 1.82
Pd (0.8750, 0.2500, 0.1250)  4 H 1.82

## Properties
**Theoretical density**: 9.97 g/cm3
**Volume**: 10.625 Å³/atom
**Final energy**: -450.7 eV/cell

=====

A relaxed PuH12Pd6 crystal, computed with GGA-PBE.

a b c (Å): 6.2068 6.2068 6.2068
angles (deg): 111.60 111.60 111.60
Last column: nearest neighbours and their distance in Å.
Positions (direct):
Pu (0.0000, 0.0000, 0.0000)  12 H 2.43-2.67
H (0.0784, 0.6300, 0.9062)  3 Pd 1.85-1.90
H (0.0938, 0.9216, 0.3700)  3 Pd 1.85-1.90
H (0.1326, 0.3681, 0.5031)  2 Pd 1.77-1.86
H (0.3681, 0.5031, 0.1326)  2 Pd 1.77-1.86
H (0.3700, 0.0938, 0.9216)  3 Pd 1.85-1.90
H (0.4969, 0.8674, 0.6319)  2 Pd 1.77-1.86
H (0.5031, 0.1326, 0.3681)  2 Pd 1.77-1.86
H (0.6300, 0.9062, 0.0784)  3 Pd 1.85-1.90
H (0.6319, 0.4969, 0.8674)  2 Pd 1.77-1.86
H (0.8674, 0.6319, 0.4969)  2 Pd 1.77-1.86
H (0.9062, 0.0784, 0.6300)  3 Pd 1.85-1.90
H (0.9216, 0.3700, 0.0938)  3 Pd 1.85-1.90
Pd (0.2513, 0.7225, 0.2726)  5 H 1.77-1.90
Pd (0.2726, 0.2513, 0.7225)  5 H 1.77-1.90
Pd (0.2775, 0.7274, 0.7487)  5 H 1.77-1.90
Pd (0.7225, 0.2726, 0.2513)  5 H 1.77-1.90
Pd (0.7274, 0.7487, 0.2775)  5 H 1.77-1.90
Pd (0.7487, 0.2775, 0.7274)  5 H 1.77-1.90

## Properties
**Theoretical density**: 8.84 g/cm3
**Volume**: 8.843 Å³/atom
**Final energy**: -87.0 eV/cell

=====

A relaxed PuHPd crystal, computed with GGA-PBE.

a b c (Å): 3.8869 3.8869 3.7486
angles (deg): 90.00 90.00 120.00
Last column: nearest neighbours and their distance in Å.
Positions (direct):
Pu (0.0000, 0.0000, 0.0000)  6 H 2.92-2.93, 6 Pd 2.92
H (0.3333, 0.6667, 0.4979)  3 Pd 2.24
Pd (0.6667, 0.3333, 0.5000)  3 H 2.24

## Properties
**Theoretical density**: 11.90 g/cm3
**Volume**: 16.349 Å³/atom
**Energy relative to the lowest polymorph listed for this composition**: 36 kJ/mol of formula units

=====

A relaxed PuH2Pd crystal, computed with GGA-PBE.

a b c (Å): 4.1138 4.1138 2.8159
angles (deg): 90.00 90.00 90.00
Last column: nearest neighbours and their distance in Å.
Positions (direct):
Pu (0.0000, 0.0000, 0.0000)  8 H 2.49
H (0.0000, 0.5000, 0.5000)  4 Pd 2.49, 4 Pu 2.49
H (0.5000, 0.0000, 0.5000)  4 Pd 2.49, 4 Pu 2.49
Pd (0.5000, 0.5000, 0.0000)  8 H 2.49

## Properties
**Theoretical density**: 12.28 g/cm3
**Volume**: 11.914 Å³/atom
**Energy relative to the lowest polymorph listed for this composition**: 40 kJ/mol of formula units

=====

Question: What is the volume in the eighth record?
Answer: 11.914 Å³/atom